1.
# B2MoPbI

B2MoPbI after structural relaxation (PBE, the Alexandria database).

Geometry as extended XYZ:
```
5
Lattice="4.590 0.000 0.000 0.000 4.590 0.000 0.000 0.000 5.967" Properties=species:S:1:pos:R:3 pbc="T T T"
B 0.000 2.295 0.000
B 2.295 0.000 0.000
Mo 0.000 0.000 2.983
Pb 0.000 0.000 0.000
I 2.295 2.295 2.983
```

Computed properties:
Space-group type   P4/mmm
Formation energy (no corrections)   215.36 kJ per mole of atoms

=====

2.
# LiMg2Ir

LiMg2Ir after structural relaxation (PBE, the Alexandria database).

Geometry as extended XYZ:
```
4
Lattice="4.830 -1.569 0.000 4.830 1.569 0.000 -1.482 0.000 4.315" Properties=species:S:1:pos:R:3 pbc="T T T"
Li 0.000 0.000 0.000
Mg 4.384 0.000 2.382
Mg 7.061 0.000 0.939
Ir 1.606 0.000 3.122
```

Computed properties:
Space-group type   Cm
Energy of formation   -0.233 eV per atom

=====

3.
# Re2AsRhI

Re2AsRhI after structural relaxation (PBE, the Alexandria database).

Geometry as extended XYZ:
```
5
Lattice="4.881 0.000 0.000 0.000 4.881 0.000 0.000 0.000 4.560" Properties=species:S:1:pos:R:3 pbc="T T T"
Re 0.000 2.441 0.000
Re 2.441 0.000 0.000
As 0.000 0.000 2.280
Rh 0.000 0.000 0.000
I 2.441 2.441 2.280
```

Computed properties:
Space-group type   P4/mmm
Formation energy (no corrections)   185.13 kJ per mole of atoms

=====

4.
# LiAcSbAs

LiAcSbAs after structural relaxation (PBE, the Alexandria database).

Geometry as extended XYZ:
```
4
Lattice="0.000 3.707 3.707 3.707 0.000 3.707 3.707 3.707 0.000" Properties=species:S:1:pos:R:3 pbc="T T T"
Li 0.000 0.000 0.000
Ac 1.854 1.854 1.854
Sb 5.561 5.561 5.561
As 3.707 3.707 3.707
```

Computed properties:
Space-group type   F-43m
Formation energy (no corrections)   -43.41 kJ per mole of atoms

=====

5.
# Sc3SbI

Sc3SbI after structural relaxation (PBE, the Alexandria database).

Geometry as extended XYZ:
```
5
Lattice="5.474 0.000 0.000 0.000 5.474 0.000 0.000 0.000 5.474" Properties=species:S:1:pos:R:3 pbc="T T T"
Sc 0.000 0.000 2.737
Sc 0.000 2.737 0.000
Sc 2.737 0.000 0.000
Sb 0.000 0.000 0.000
I 2.737 2.737 2.737
```

Computed properties:
Space-group type   Pm-3m
Formation energy (no corrections)   11.10 kJ per mole of atoms

=====

6.
# Ca3CePt4

Ca3CePt4 after structural relaxation (PBE, the Alexandria database).

Geometry as extended XYZ:
```
8
Lattice="7.475 -2.485 0.000 7.475 2.485 0.000 -1.647 0.000 4.688" Properties=species:S:1:pos:R:3 pbc="T T T"
Ca 0.000 0.000 0.000
Ca 3.278 0.000 1.155
Ca 10.025 0.000 3.533
Ce 6.652 0.000 2.344
Pt 0.764 0.000 2.903
Pt 4.241 0.000 4.128
Pt 9.062 0.000 0.560
Pt 12.540 0.000 1.785
```

Computed properties:
Space-group type   C2/m
Energy of formation   -0.949 eV per atom

=====

7.
# CdRh2F

CdRh2F after structural relaxation (PBE, the Alexandria database).

Geometry as extended XYZ:
```
8
Lattice="-1.777 1.777 10.512 1.777 -1.777 10.512 1.777 1.777 -10.512" Properties=species:S:1:pos:R:3 pbc="T T T"
Cd 0.000 0.000 0.000
Cd 0.000 1.777 5.256
Rh 2.666 0.884 -2.628
Rh 0.884 0.889 2.628
Rh -0.889 0.893 7.884
Rh 0.893 0.889 13.139
F 1.777 0.000 5.256
F 0.000 0.000 10.512
```

Computed properties:
Space-group type   I-42d
Formation energy (no corrections)   -9.52 kJ per mole of atoms

=====

8.
# NdSmNiPd

NdSmNiPd after structural relaxation (PBE, the Alexandria database).

Geometry as extended XYZ:
```
4
Lattice="4.478 0.000 0.000 0.000 1.942 5.303 0.000 -1.942 5.303" Properties=species:S:1:pos:R:3 pbc="T T T"
Nd 0.000 0.000 0.000
Sm 2.239 0.000 7.670
Ni 0.000 0.000 2.959
Pd 2.239 0.000 4.639
```

Computed properties:
Space-group type   Amm2
Energy of formation   -0.569 eV per atom

=====

9.
# SrYSnSb2

SrYSnSb2 after structural relaxation (PBE, the Alexandria database).

Geometry as extended XYZ:
```
5
Lattice="5.726 0.000 0.000 0.000 5.726 0.000 0.000 0.000 6.334" Properties=species:S:1:pos:R:3 pbc="T T T"
Sr 0.000 0.000 0.000
Y 0.000 0.000 3.167
Sn 2.863 2.863 0.000
Sb 0.000 2.863 3.167
Sb 2.863 0.000 3.167
```

Computed properties:
Space-group type   P4/mmm
Formation energy (no corrections)   29.16 kJ per mole of atoms

=====

10.
# NdHoH

NdHoH after structural relaxation (PBE, the Alexandria database).

Geometry as extended XYZ:
```
3
Lattice="-1.718 1.718 6.097 1.718 -1.718 6.097 1.718 1.718 -6.097" Properties=species:S:1:pos:R:3 pbc="T T T"
Nd 0.000 0.000 0.000
Ho 0.000 0.000 3.533
H 0.000 0.000 5.745
```

Computed properties:
Final energy   -13.04 eV for the cell shown
Space-group type   I4mm

=====

11.
# Ac4Si4Hg

Ac4Si4Hg after structural relaxation (PBE, the Alexandria database).

Geometry as extended XYZ:
```
18
Lattice="9.256 0.000 0.000 0.000 9.256 0.000 0.000 0.000 6.354" Properties=species:S:1:pos:R:3 pbc="T T T"
Ac 0.547 7.674 0.483
Ac 1.583 5.175 3.660
Ac 3.045 8.709 3.660
Ac 4.081 6.211 0.483
Ac 5.175 3.045 5.870
Ac 6.211 0.547 2.693
Ac 7.674 4.081 2.693
Ac 8.709 1.583 5.870
Si 0.106 1.080 2.660
Si 1.080 4.522 0.517
Si 3.548 0.106 0.517
Si 4.522 3.548 2.660
Si 4.734 5.708 3.694
Si 5.708 9.150 5.837
Si 8.176 4.734 5.837
Si 9.150 8.176 3.694
Hg 2.314 2.314 4.765
Hg 6.942 6.942 1.588
```

Computed properties:
Space-group type   P4_2/n
Formation energy (no corrections)   -23.31 kJ per mole of atoms

=====

12.
# Mg5Ag2Hg2Au

Mg5Ag2Hg2Au after structural relaxation (PBE, the Alexandria database).

Geometry as extended XYZ:
```
20
Lattice="11.138 0.000 0.000 0.000 11.138 0.000 0.000 0.000 3.361" Properties=species:S:1:pos:R:3 pbc="T T T"
Mg 0.000 5.569 0.000
Mg 0.156 2.237 0.000
Mg 2.237 10.982 0.000
Mg 3.333 5.413 0.000
Mg 5.413 7.806 0.000
Mg 5.569 0.000 0.000
Mg 5.725 3.333 0.000
Mg 7.806 5.725 0.000
Mg 8.902 0.156 0.000
Mg 10.982 8.902 0.000
Ag 1.623 3.946 1.680
Ag 3.946 9.515 1.680
Ag 7.192 1.623 1.680
Ag 9.515 7.192 1.680
Hg 1.872 7.441 1.680
Hg 3.697 1.872 1.680
Hg 7.441 9.266 1.680
Hg 9.266 3.697 1.680
Au 0.000 0.000 1.680
Au 5.569 5.569 1.680
```

Computed properties:
Space-group type   P4/mbm
Energy of formation   -0.228 eV per atom

=====

13.
# Mg4MnPt5

Mg4MnPt5 after structural relaxation (PBE, the Alexandria database).

Geometry as extended XYZ:
```
10
Lattice="2.962 0.000 0.000 0.000 2.962 0.000 0.000 0.000 17.927" Properties=species:S:1:pos:R:3 pbc="T T T"
Mg 0.000 0.000 1.799
Mg 0.000 0.000 5.402
Mg 0.000 0.000 12.525
Mg 0.000 0.000 16.128
Mn 0.000 0.000 8.963
Pt 1.481 1.481 0.000
Pt 1.481 1.481 3.602
Pt 1.481 1.481 7.236
Pt 1.481 1.481 10.691
Pt 1.481 1.481 14.325
```

Computed properties:
Space-group type   P4/mmm
Energy of formation   -0.768 eV per atom

=====

14.
# BaTa2HPd

BaTa2HPd after structural relaxation (PBE, the Alexandria database).

Geometry as extended XYZ:
```
5
Lattice="5.236 0.000 0.000 0.000 5.236 0.000 0.000 0.000 5.213" Properties=species:S:1:pos:R:3 pbc="T T T"
Ba 0.000 0.000 0.000
Ta 0.000 2.618 0.000
Ta 2.618 0.000 0.000
H 2.618 2.618 2.606
Pd 0.000 0.000 2.606
```

Computed properties:
Final energy   -18.11 eV for the cell shown
Space-group type   P4/mmm